Record 1
# PtBr5

A geometry-optimized PtBr5 structure (PBE-GGA, Alexandria via LeMat-Bulk).

Cell and atoms, written as POSCAR:
```
PtBr5
1.0
6.554 -1.845 0.000
6.554 1.845 0.000
-3.383 0.000 9.388
Pt Br
1 5
Direct
0.000 0.000 0.000 Pt
0.323 0.323 0.501 Br
0.402 0.402 0.067 Br
0.598 0.598 0.933 Br
0.656 0.656 0.501 Br
0.989 0.989 0.501 Br
```

Summary:
**D(E_F)**: 0.582 states/eV/atom
**ΔE to the lowest computed polymorph**: 0 meV/atom

---

Record 2
# PtBr

A geometry-optimized PtBr structure (PBE-GGA, Alexandria via LeMat-Bulk).

Cell and atoms, written as POSCAR:
```
PtBr
1.0
9.788 0.000 0.000
-4.894 8.477 0.000
0.000 0.000 3.843
Pt Br
6 6
Direct
0.064 0.459 0.250 Pt
0.395 0.936 0.250 Pt
0.459 0.395 0.750 Pt
0.541 0.605 0.250 Pt
0.605 0.064 0.750 Pt
0.936 0.541 0.750 Pt
0.193 0.392 0.750 Br
0.200 0.807 0.750 Br
0.392 0.200 0.250 Br
0.608 0.800 0.750 Br
0.800 0.193 0.250 Br
0.807 0.608 0.250 Br
```

Summary:
**D(E_F)**: 0.437 states/eV/atom

---

Asked for energy relative to the elements, uncorrected across the records above, the calculation gives 27.8 228.0 meV/atom in order.